[1]
## CuTc2Te (PBE)

Data for CuTc2Te after structural relaxation.

a = 3.260 Å, b = 3.260 Å, c = 5.998 Å
α = 90.00°, β = 90.00°, γ = 90.00°
Positions (direct):
1 Cu 0.000 0.000 0.000
2 Tc 0.000 0.000 0.458
3 Tc 0.500 0.500 0.217
4 Te 0.500 0.500 0.742

## Properties
E_form (uncorrected) = 0.3536 eV/atom
Uncorrected energy = -0.244 hartree per atom
M_tot = 0.00 μB/f.u.
Space-group type = P4mm (99)



[2]
## CuTc2Te (PBE)

Data for CuTc2Te after structural relaxation.

a = 4.525 Å, b = 4.525 Å, c = 4.962 Å
α = 101.97°, β = 101.97°, γ = 40.09°
Positions (direct):
1 Cu 0.000 0.000 0.000
2 Tc 0.252 0.252 0.776
3 Tc 0.748 0.748 0.224
4 Te 0.500 0.500 0.500

## Properties
E_form (uncorrected) = 0.4285 eV/atom
Uncorrected energy = -0.241 hartree per atom
M_tot = 0.00 μB/f.u.
Space-group type = C2/m (12)



[3]
## CuTc2Te (PBE)

Data for CuTc2Te after structural relaxation.

a = 4.837 Å, b = 4.837 Å, c = 4.837 Å
α = 131.30°, β = 131.30°, γ = 71.34°
Positions (direct):
1 Cu 0.000 0.000 0.000
2 Tc 0.250 0.750 0.500
3 Tc 0.500 0.500 0.000
4 Te 0.750 0.250 0.500

## Properties
E_form (uncorrected) = 0.4593 eV/atom
Uncorrected energy = -0.240 hartree per atom
M_tot = 0.00 μB/f.u.
Space-group type = I-4m2 (119)



[4]
## CuTc2Te (PBE)

Data for CuTc2Te after structural relaxation.

a = 3.211 Å, b = 3.211 Å, c = 6.062 Å
α = 90.00°, β = 90.00°, γ = 90.00°
Positions (direct):
1 Cu 0.000 0.000 0.000
2 Tc 0.500 0.500 0.225
3 Tc 0.500 0.500 0.775
4 Te 0.000 0.000 0.500

## Properties
E_form (uncorrected) = 0.4431 eV/atom
Uncorrected energy = -0.241 hartree per atom
M_tot = 0.00 μB/f.u.
Space-group type = P4/mmm (123)



[5]
## CuTc2Te (PBE)

Data for CuTc2Te after structural relaxation.

a = 8.169 Å, b = 8.169 Å, c = 8.169 Å
α = 21.70°, β = 21.70°, γ = 21.70°
Positions (direct):
1 Cu 0.000 0.000 0.000
2 Tc 0.251 0.251 0.251
3 Tc 0.749 0.749 0.749
4 Te 0.500 0.500 0.500

## Properties
E_form (uncorrected) = 0.6171 eV/atom
Uncorrected energy = -0.234 hartree per atom
M_tot = 0.00 μB/f.u.
Space-group type = R-3m (166)



[6]
## Cu2TcTe (PBE)

Data for Cu2TcTe after structural relaxation.

a = 3.325 Å, b = 3.325 Å, c = 5.653 Å
α = 90.00°, β = 90.00°, γ = 90.00°
Positions (direct):
1 Cu 0.000 0.000 0.000
2 Cu 0.500 0.500 0.184
3 Tc 0.000 0.000 0.461
4 Te 0.500 0.500 0.691

## Properties
E_form (uncorrected) = 0.2172 eV/atom
Uncorrected energy = -0.191 hartree per atom
M_tot = 0.00 μB/f.u.
Space-group type = P4mm (99)



[7]
## CuTc2Te (PBE)

Data for CuTc2Te after structural relaxation.

a = 5.132 Å, b = 5.132 Å, c = 3.043 Å
α = 102.92°, β = 102.92°, γ = 116.79°
Positions (direct):
1 Cu 0.000 0.000 0.000
2 Tc 0.000 0.500 0.500
3 Tc 0.500 0.000 0.500
4 Te 0.500 0.500 0.000

## Properties
E_form (uncorrected) = 0.6233 eV/atom
Uncorrected energy = -0.234 hartree per atom
M_tot = 0.00 μB/f.u.
Space-group type = C2/m (12)



[8]
## TlCu2TcTe (PBE)

Data for TlCu2TcTe after structural relaxation.

a = 4.832 Å, b = 4.832 Å, c = 5.300 Å
α = 90.00°, β = 90.00°, γ = 90.00°
Positions (direct):
1 Tl 0.000 0.000 0.000
2 Cu 0.000 0.500 0.500
3 Cu 0.500 0.000 0.500
4 Tc 0.000 0.000 0.500
5 Te 0.500 0.500 0.000

## Properties
E_form (uncorrected) = 1.0965 eV/atom
Uncorrected energy = -0.137 hartree per atom
M_tot = 2.57 μB/f.u.
Space-group type = P4/mmm (123)



[9]
## Th3Cu2Tc (PBE)

Data for Th3Cu2Tc after structural relaxation.

a = 12.294 Å, b = 4.489 Å, c = 10.273 Å
α = 90.00°, β = 90.00°, γ = 90.00°
Positions (direct):
1 Th 0.058 0.250 0.114
2 Th 0.109 0.750 0.568
3 Th 0.234 0.250 0.787
4 Th 0.266 0.750 0.287
5 Th 0.391 0.250 0.068
6 Th 0.442 0.750 0.614
7 Th 0.558 0.250 0.386
8 Th 0.609 0.750 0.932
9 Th 0.734 0.250 0.713
10 Th 0.766 0.750 0.213
11 Th 0.891 0.250 0.432
12 Th 0.942 0.750 0.886
13 Cu 0.009 0.750 0.295
14 Cu 0.191 0.750 0.000
15 Cu 0.309 0.250 0.500
16 Cu 0.491 0.250 0.795
17 Cu 0.509 0.750 0.205
18 Cu 0.691 0.750 0.500
19 Cu 0.809 0.250 0.000
20 Cu 0.991 0.250 0.705
21 Tc 0.126 0.250 0.370
22 Tc 0.374 0.750 0.870
23 Tc 0.626 0.250 0.130
24 Tc 0.874 0.750 0.630

## Properties
Uncorrected energy = -0.253 hartree per atom
M_tot = 0.00 μB/f.u.
Space-group type = Pnma (62)



[10]
## Th2CuTc (PBE)

Data for Th2CuTc after structural relaxation.

a = 5.056 Å, b = 5.056 Å, c = 5.056 Å
α = 60.00°, β = 60.00°, γ = 60.00°
Positions (direct):
1 Th 0.250 0.250 0.250
2 Th 0.750 0.750 0.750
3 Cu 0.000 0.000 0.000
4 Tc 0.500 0.500 0.500

## Properties
Uncorrected energy = -0.272 hartree per atom
M_tot = 0.00 μB/f.u.
Space-group type = Fm-3m (225)



[11]
## ThCu4Tc (PBE)

Data for ThCu4Tc after structural relaxation.

a = 5.060 Å, b = 5.060 Å, c = 5.060 Å
α = 60.00°, β = 60.00°, γ = 60.00°
Positions (direct):
1 Th 0.000 0.000 0.000
2 Cu 0.377 0.377 0.377
3 Cu 0.377 0.377 0.869
4 Cu 0.377 0.869 0.377
5 Cu 0.869 0.377 0.377
6 Tc 0.750 0.750 0.750

## Properties
Uncorrected energy = -0.208 hartree per atom
M_tot = 0.63 μB/f.u.
Space-group type = F-43m (216)



[12]
## Th2CuTc (PBE)

Data for Th2CuTc after structural relaxation.

a = 5.898 Å, b = 4.302 Å, c = 7.726 Å
α = 90.00°, β = 108.54°, γ = 90.00°
Positions (direct):
1 Th 0.223 0.250 0.427
2 Th 0.225 0.250 0.941
3 Th 0.775 0.750 0.059
4 Th 0.777 0.750 0.573
5 Cu 0.342 0.750 0.709
6 Cu 0.658 0.250 0.291
7 Tc 0.321 0.750 0.217
8 Tc 0.679 0.250 0.783

## Properties
Uncorrected energy = -0.276 hartree per atom
M_tot = 0.00 μB/f.u.
Space-group type = P2_1/m (11)



[13]
## Th2CuTc (PBE)

Data for Th2CuTc after structural relaxation.

a = 3.509 Å, b = 3.509 Å, c = 7.464 Å
α = 90.00°, β = 90.00°, γ = 90.00°
Positions (direct):
1 Th 0.000 0.000 0.240
2 Th 0.000 0.000 0.760
3 Cu 0.500 0.500 0.500
4 Tc 0.500 0.500 0.000

## Properties
Uncorrected energy = -0.273 hartree per atom
M_tot = 0.00 μB/f.u.
Space-group type = P4/mmm (123)



[14]
## Th4CuTc (PBE)

Data for Th4CuTc after structural relaxation.

a = 7.177 Å, b = 7.177 Å, c = 6.100 Å
α = 90.00°, β = 90.00°, γ = 90.00°
Positions (direct):
1 Th 0.157 0.325 0.000
2 Th 0.157 0.675 0.500
3 Th 0.325 0.157 0.500
4 Th 0.325 0.843 0.000
5 Th 0.675 0.157 0.000
6 Th 0.675 0.843 0.500
7 Th 0.843 0.325 0.500
8 Th 0.843 0.675 0.000
9 Cu 0.500 0.500 0.250
10 Cu 0.500 0.500 0.750
11 Tc 0.000 0.000 0.250
12 Tc 0.000 0.000 0.750

## Properties
Uncorrected energy = -0.275 hartree per atom
M_tot = 0.00 μB/f.u.
Space-group type = P4/mcc (124)



[15]
## ThTiCuTc (PBE)

Data for ThTiCuTc after structural relaxation.

a = 4.741 Å, b = 4.741 Å, c = 4.741 Å
α = 60.00°, β = 60.00°, γ = 60.00°
Positions (direct):
1 Th 0.000 0.000 0.000
2 Ti 0.500 0.500 0.500
3 Cu 0.750 0.750 0.750
4 Tc 0.250 0.250 0.250

## Properties
Uncorrected energy = -0.274 hartree per atom
M_tot = 0.00 μB/f.u.
Space-group type = F-43m (216)



[16]
## YThCuTc (PBE)

Data for YThCuTc after structural relaxation.

a = 4.972 Å, b = 4.972 Å, c = 4.972 Å
α = 60.00°, β = 60.00°, γ = 60.00°
Positions (direct):
1 Y 0.000 0.000 0.000
2 Th 0.500 0.500 0.500
3 Cu 0.250 0.250 0.250
4 Tc 0.750 0.750 0.750

## Properties
Uncorrected energy = -0.265 hartree per atom
M_tot = 0.00 μB/f.u.
Space-group type = F-43m (216)



[17]
## ThZrCuTc (PBE)

Data for ThZrCuTc after structural relaxation.

a = 4.862 Å, b = 4.862 Å, c = 4.862 Å
α = 60.00°, β = 60.00°, γ = 60.00°
Positions (direct):
1 Th 0.000 0.000 0.000
2 Zr 0.500 0.500 0.500
3 Cu 0.250 0.250 0.250
4 Tc 0.750 0.750 0.750

## Properties
Uncorrected energy = -0.283 hartree per atom
M_tot = 0.00 μB/f.u.
Space-group type = F-43m (216)



[18]
## TiCuTc3 (PBE)

Data for TiCuTc3 after structural relaxation.

a = 4.486 Å, b = 4.486 Å, c = 4.486 Å
α = 90.00°, β = 90.00°, γ = 90.00°
Positions (direct):
1 Ti 0.000 0.000 0.000
2 Cu 0.500 0.500 0.500
3 Tc 0.000 0.000 0.500
4 Tc 0.000 0.500 0.000
5 Tc 0.500 0.000 0.000

## Properties
Uncorrected energy = -0.261 hartree per atom
Excess energy over the best structure of this formula in the dataset = 10.34 kJ/mol of atoms
M_tot = 0.00 μB/f.u.
Space-group type = Pm-3m (221)



[19]
## TiCu2Tc (PBE)

Data for TiCu2Tc after structural relaxation.

a = 4.271 Å, b = 4.271 Å, c = 4.271 Å
α = 60.00°, β = 60.00°, γ = 60.00°
Positions (direct):
1 Ti 0.000 0.000 0.000
2 Cu 0.250 0.250 0.250
3 Cu 0.750 0.750 0.750
4 Tc 0.500 0.500 0.500

## Properties
Uncorrected energy = -0.238 hartree per atom
Excess energy over the best structure of this formula in the dataset = 0.00 kJ/mol of atoms
M_tot = 0.00 μB/f.u.
Space-group type = Fm-3m (225)



[20]
## Ti2CuTc (PBE)

Data for Ti2CuTc after structural relaxation.

a = 4.373 Å, b = 4.373 Å, c = 4.373 Å
α = 60.00°, β = 60.00°, γ = 60.00°
Positions (direct):
1 Ti 0.250 0.250 0.250
2 Ti 0.750 0.750 0.750
3 Cu 0.000 0.000 0.000
4 Tc 0.500 0.500 0.500

## Properties
Uncorrected energy = -0.289 hartree per atom
M_tot = 0.00 μB/f.u.
Space-group type = Fm-3m (225)



[21]
## Ti3CuTc (PBE)

Data for Ti3CuTc after structural relaxation.

a = 4.491 Å, b = 4.491 Å, c = 4.491 Å
α = 90.00°, β = 90.00°, γ = 90.00°
Positions (direct):
1 Ti 0.000 0.000 0.500
2 Ti 0.000 0.500 0.000
3 Ti 0.500 0.000 0.000
4 Cu 0.000 0.000 0.000
5 Tc 0.500 0.500 0.500

## Properties
Uncorrected energy = -0.248 hartree per atom
Excess energy over the best structure of this formula in the dataset = 15.97 kJ/mol of atoms
M_tot = 0.00 μB/f.u.
Space-group type = Pm-3m (221)



[22]
## Ti3CuTc2 (PBE)

Data for Ti3CuTc2 after structural relaxation.

a = 3.139 Å, b = 3.139 Å, c = 9.102 Å
α = 90.00°, β = 90.00°, γ = 90.00°
Positions (direct):
1 Ti 0.000 0.000 0.000
2 Ti 0.000 0.000 0.328
3 Ti 0.000 0.000 0.672
4 Cu 0.500 0.500 0.500
5 Tc 0.500 0.500 0.173
6 Tc 0.500 0.500 0.827

## Properties
Uncorrected energy = -0.312 hartree per atom
M_tot = 0.00 μB/f.u.
Space-group type = P4/mmm (123)



[23]
## Ti2Cu2Tc (PBE)

Data for Ti2Cu2Tc after structural relaxation.

a = 7.576 Å, b = 7.576 Å, c = 3.119 Å
α = 90.00°, β = 90.00°, γ = 155.46°
Positions (direct):
1 Ti 0.100 0.900 0.000
2 Ti 0.900 0.100 0.000
3 Cu 0.309 0.691 0.500
4 Cu 0.691 0.309 0.500
5 Tc 0.500 0.500 0.500

## Properties
Uncorrected energy = -0.259 hartree per atom
Excess energy over the best structure of this formula in the dataset = 0.00 kJ/mol of atoms
M_tot = 0.00 μB/f.u.
Space-group type = Cmmm (65)



[24]
## TiCu2Tc2 (PBE)

Data for TiCu2Tc2 after structural relaxation.

a = 7.383 Å, b = 7.383 Å, c = 2.681 Å
α = 90.00°, β = 90.00°, γ = 90.00°
Positions (direct):
1 Ti 0.000 0.000 0.000
2 Ti 0.500 0.500 0.000
3 Cu 0.179 0.321 0.500
4 Cu 0.321 0.821 0.500
5 Cu 0.679 0.179 0.500
6 Cu 0.821 0.679 0.500
7 Tc 0.117 0.617 0.000
8 Tc 0.383 0.117 0.000
9 Tc 0.617 0.883 0.000
10 Tc 0.883 0.383 0.000

## Properties
Uncorrected energy = -0.260 hartree per atom
M_tot = 0.00 μB/f.u.
Space-group type = P4/mbm (127)



[25]
## TiCu2Tc (PBE)

Data for TiCu2Tc after structural relaxation.

a = 9.816 Å, b = 9.816 Å, c = 9.816 Å
α = 159.36°, β = 159.36°, γ = 29.35°
Positions (direct):
1 Ti 0.000 0.000 0.000
2 Ti 0.750 0.250 0.500
3 Cu 0.131 0.625 0.006
4 Cu 0.375 0.381 0.506
5 Cu 0.619 0.125 0.994
6 Cu 0.875 0.869 0.494
7 Tc 0.250 0.750 0.500
8 Tc 0.500 0.500 0.000

## Properties
Uncorrected energy = -0.232 hartree per atom
Excess energy over the best structure of this formula in the dataset = 17.64 kJ/mol of atoms
M_tot = 0.00 μB/f.u.
Space-group type = I-42d (122)



[26]
## Ti2CuTc (PBE)

Data for Ti2CuTc after structural relaxation.

a = 3.155 Å, b = 3.155 Å, c = 5.963 Å
α = 90.00°, β = 90.00°, γ = 90.00°
Positions (direct):
1 Ti 0.000 0.000 0.244
2 Ti 0.000 0.000 0.756
3 Cu 0.500 0.500 0.500
4 Tc 0.500 0.500 0.000

## Properties
Uncorrected energy = -0.290 hartree per atom
M_tot = 0.00 μB/f.u.
Space-group type = P4/mmm (123)



[27]
## TiCuTc2 (PBE)

Data for TiCuTc2 after structural relaxation.

a = 4.320 Å, b = 4.320 Å, c = 4.320 Å
α = 60.00°, β = 60.00°, γ = 60.00°
Positions (direct):
1 Ti 0.000 0.000 0.000
2 Cu 0.500 0.500 0.500
3 Tc 0.250 0.250 0.250
4 Tc 0.750 0.750 0.750

## Properties
Uncorrected energy = -0.297 hartree per atom
Excess energy over the best structure of this formula in the dataset = 0.00 kJ/mol of atoms
M_tot = 0.00 μB/f.u.
Space-group type = Fm-3m (225)